Record 1
Tb3Be2Ge4 | Alexandria | PBE-GGA | optimized geometry; space group = C2/m (12); DFT formation energy = -675 meV/atom; uncorrected energy = -5.098 eV per atom; relative energy among the computed polymorphs = 0 meV per atom
1.0
5.379 -1.993 0.000
5.379 1.993 0.000
-1.350 0.000 7.912
Tb Be Ge
3 2 4
Cartesian
0.000 0.000 0.000
3.171 0.000 2.639
6.237 0.000 5.273
3.247 0.000 5.675
6.161 0.000 2.237
0.176 0.000 3.016
1.843 0.000 7.372
7.564 0.000 0.540
9.232 0.000 4.896

***

Record 2
Tb3Be2Ge4 | Alexandria | PBE-GGA | optimized geometry; space group = C2/m (12); DFT formation energy = -593 meV/atom; uncorrected energy = -5.017 eV per atom; relative energy among the computed polymorphs = 81 meV per atom
1.0
5.419 -2.009 0.000
5.419 2.009 0.000
-2.699 0.000 7.813
Tb Be Ge
3 2 4
Cartesian
0.000 0.000 0.000
3.273 0.000 2.440
4.866 0.000 5.372
1.615 0.000 5.093
6.525 0.000 2.719
0.054 0.000 3.082
0.604 0.000 7.248
7.536 0.000 0.564
8.086 0.000 4.730

***

Record 3
Tb2BeGe2 | Alexandria | PBE-GGA | optimized geometry; space group = C2/m (12); DFT formation energy = -694 meV/atom; uncorrected energy = -5.138 eV per atom
1.0
5.349 -1.989 0.000
5.349 1.989 0.000
-4.012 0.000 9.562
Tb Be Ge
4 2 4
Cartesian
-0.593 0.000 3.865
-0.216 0.000 8.201
6.903 0.000 1.361
7.280 0.000 5.697
3.854 0.000 1.782
2.833 0.000 7.779
-3.159 0.000 8.654
2.346 0.000 3.463
4.341 0.000 6.099
9.846 0.000 0.908

***

Record 4
Tb3BeGe2 | Alexandria | PBE-GGA | optimized geometry; space group = Pnma (62); DFT formation energy = -675 meV/atom; uncorrected energy = -5.150 eV per atom
1.0
11.368 0.000 0.000
0.000 4.082 0.000
0.000 0.000 11.588
Tb Be Ge
12 4 8
Cartesian
0.732 1.021 1.406
1.381 3.062 6.480
2.321 1.021 9.238
3.363 3.062 3.444
4.302 1.021 0.686
4.952 3.062 7.200
6.416 1.021 4.388
7.065 3.062 10.902
8.005 1.021 8.144
9.047 3.062 2.350
9.986 1.021 5.108
10.636 3.062 10.183
1.542 1.021 4.204
4.142 3.062 9.998
7.226 1.021 1.590
9.826 3.062 7.385
0.364 3.062 3.686
2.200 3.062 11.427
3.484 1.021 5.633
5.320 1.021 9.480
6.048 3.062 2.108
7.884 3.062 5.955
9.168 1.021 0.161
11.004 1.021 7.902

***

Record 5
Tb2BeGe | Alexandria | PBE-GGA | optimized geometry; space group = R-3m (166); DFT formation energy = 462 meV/atom; uncorrected energy = -3.939 eV per atom
1.0
2.073 1.197 8.895
-2.073 1.197 8.895
0.000 -2.394 8.895
Tb Be Ge
2 1 1
Cartesian
0.000 0.000 2.928
0.000 0.000 23.756
0.000 0.000 0.000
0.000 0.000 13.342

***

Record 6
Be2TcGe | Alexandria | PBE-GGA | optimized geometry; space group = P4/mmm (123); DFT formation energy = -31 meV/atom; uncorrected energy = -5.640 eV per atom
1.0
3.717 0.000 0.000
0.000 3.717 0.000
0.000 0.000 3.306
Be Tc Ge
2 1 1
Cartesian
0.000 1.859 0.000
1.859 0.000 0.000
0.000 0.000 1.653
1.859 1.859 1.653

***

Record 7
Be3TcGe | Alexandria | PBE-GGA | optimized geometry; space group = Pm-3m (221); DFT formation energy = 943 meV/atom; uncorrected energy = -4.289 eV per atom; relative energy among the computed polymorphs = 0 meV per atom
1.0
4.241 0.000 0.000
0.000 4.241 0.000
0.000 0.000 4.241
Be Tc Ge
3 1 1
Cartesian
0.000 0.000 2.121
0.000 2.121 0.000
2.121 0.000 0.000
0.000 0.000 0.000
2.121 2.121 2.121

***

Record 8
Be2TcGe2 | Alexandria | PBE-GGA | optimized geometry; space group = I4/mmm (139); DFT formation energy = 340 meV/atom; uncorrected energy = -5.070 eV per atom; relative energy among the computed polymorphs = 86 meV per atom
1.0
-1.606 1.606 6.364
1.606 -1.606 6.364
1.606 1.606 -6.364
Be Tc Ge
2 1 2
Cartesian
1.606 0.000 3.182
0.000 1.606 3.182
0.000 0.000 0.000
0.000 0.000 4.947
0.000 0.000 7.781

***

Record 9
Be2TcGe | Alexandria | PBE-GGA | optimized geometry; space group = I-42d (122); DFT formation energy = 449 meV/atom; uncorrected energy = -5.160 eV per atom
1.0
-3.211 3.211 2.461
3.211 -3.211 2.461
3.211 3.211 -2.461
Be Tc Ge
4 2 2
Cartesian
1.606 1.562 -0.615
1.649 -1.606 3.076
1.606 1.649 1.845
1.562 4.817 0.615
3.211 0.000 1.230
0.000 0.000 2.461
0.000 0.000 0.000
0.000 3.211 1.230

***

Record 10
Be12Tc5Ge3 | Alexandria | PBE-GGA | optimized geometry; space group = Ia-3d (230); DFT formation energy = 961 meV/atom; uncorrected energy = -4.559 eV per atom
1.0
-6.512 6.512 6.512
6.512 -6.512 6.512
6.512 6.512 -6.512
Be Tc Ge
48 20 12
Cartesian
6.458 -1.013 1.960
9.821 -1.296 2.242
1.960 -0.053 1.013
7.808 4.269 -3.309
8.471 0.053 1.013
7.808 -2.242 3.309
1.013 1.960 -0.053
8.754 3.203 -1.296
4.269 3.309 -1.296
5.498 1.960 0.053
-0.053 1.013 1.960
3.309 -1.296 4.269
6.458 5.498 -1.960
3.309 1.296 2.242
5.498 -1.960 6.458
4.269 -3.309 7.808
2.242 3.309 1.296
7.525 4.552 0.053
1.960 6.458 -1.013
7.808 2.242 3.203
1.296 2.242 3.309
1.960 0.053 5.498
3.309 7.808 -2.242
6.458 1.013 4.552
0.053 5.498 1.960
3.203 -1.296 8.754
4.552 6.458 1.013
5.215 4.269 3.203
-1.296 4.269 3.309
4.552 0.053 7.525
-1.013 1.960 6.458
4.269 3.203 5.215
2.242 9.821 -1.296
1.013 8.471 0.053
3.203 5.215 4.269
0.053 1.013 8.471
3.203 7.808 2.242
6.565 5.498 4.552
1.013 4.552 6.458
2.242 3.203 7.808
-2.242 3.309 7.808
5.498 4.552 6.565
-1.296 8.754 3.203
-1.960 6.458 5.498
-1.296 2.242 9.821
4.552 6.565 5.498
-3.309 7.808 4.269
0.053 7.525 4.552
0.000 0.000 0.000
3.256 3.256 -3.256
3.256 -3.256 3.256
6.512 0.000 0.000
9.767 1.628 0.000
6.512 -3.256 4.884
4.884 6.512 -3.256
4.884 0.000 3.256
3.256 4.884 0.000
6.512 3.256 1.628
-3.256 3.256 3.256
0.000 6.512 0.000
0.000 0.000 6.512
3.256 3.256 3.256
0.000 3.256 4.884
3.256 1.628 6.512
1.628 6.512 3.256
1.628 0.000 9.767
0.000 9.767 1.628
-3.256 4.884 6.512
3.256 1.628 0.000
6.512 3.256 -1.628
1.628 0.000 3.256
8.140 0.000 3.256
0.000 3.256 1.628
3.256 -1.628 6.512
3.256 8.140 0.000
6.512 3.256 4.884
-1.628 6.512 3.256
4.884 6.512 3.256
0.000 3.256 8.140
3.256 4.884 6.512

***

Record 11
Be3TcGe | Alexandria | PBE-GGA | optimized geometry; space group = Pm-3m (221); DFT formation energy = 1185 meV/atom; uncorrected energy = -4.047 eV per atom; relative energy among the computed polymorphs = 242 meV per atom
1.0
4.097 0.000 0.000
0.000 4.097 0.000
0.000 0.000 4.097
Be Tc Ge
3 1 1
Cartesian
0.000 0.000 2.048
0.000 2.048 0.000
2.048 0.000 0.000
2.048 2.048 2.048
0.000 0.000 0.000

***

Record 12
Be2TcGe2 | Alexandria | PBE-GGA | optimized geometry; space group = P4/mbm (127); DFT formation energy = 254 meV/atom; uncorrected energy = -5.156 eV per atom; relative energy among the computed polymorphs = 0 meV per atom
1.0
6.409 0.000 0.000
0.000 6.409 0.000
0.000 0.000 3.257
Be Tc Ge
4 2 4
Cartesian
1.029 2.175 0.000
2.175 5.380 0.000
4.234 1.029 0.000
5.380 4.234 0.000
0.000 0.000 1.628
3.204 3.204 1.628
0.892 4.096 1.628
2.312 0.892 1.628
4.096 5.517 1.628
5.517 2.312 1.628

***

Please write out number 7 again, unchanged.
Be3TcGe | Alexandria | PBE-GGA | optimized geometry; space group = Pm-3m (221); DFT formation energy = 943 meV/atom; uncorrected energy = -4.289 eV per atom; relative energy among the computed polymorphs = 0 meV per atom
1.0
4.241 0.000 0.000
0.000 4.241 0.000
0.000 0.000 4.241
Be Tc Ge
3 1 1
Cartesian
0.000 0.000 2.121
0.000 2.121 0.000
2.121 0.000 0.000
0.000 0.000 0.000
2.121 2.121 2.121